Material: Li2Cd2CuPd5
Method: DFT, PBE-GGA
State: optimized geometry

The structure belongs to space group P4/mbm (No. 127); the cell edges are 9.346, 9.346 and 3.511 Å and the angles 90.00°, 90.00° and 90.00°. Symmetry generates all atoms from Li at (0.124, 0.376, 0.000), Cd at (0.175, 0.675, 0.000), Cu at (0.000, 0.000, 0.000), Pd at (0.000, 0.500, 0.500) and Pd at (0.070, 0.200, 0.500).

Material: LiCd2Cu2Pd5
Method: DFT, PBE-GGA
State: optimized geometry

The structure belongs to space group P4/mbm (No. 127); the cell edges are 9.066, 9.066 and 3.947 Å and the angles 90.00°, 90.00° and 90.00°. Symmetry generates all atoms from Li at (0.000, 0.000, 0.000), Cd at (0.171, 0.329, 0.000), Cu at (0.125, 0.625, 0.000), Pd at (0.000, 0.500, 0.500) and Pd at (0.079, 0.803, 0.500).

Material: LiPmCdCu
Method: DFT, PBE-GGA
State: optimized geometry

The structure belongs to space group F-43m (No. 216); the cell edges are 6.840, 6.840 and 6.840 Å and the angles 90.00°, 90.00° and 90.00°. Symmetry generates all atoms from Li at (0.000, 0.000, 0.000), Pm at (0.250, 0.250, 0.750), Cd at (0.250, 0.250, 0.250) and Cu at (0.000, 0.000, 0.500).

Material: LiCdCuPt
Method: DFT, PBE-GGA
State: optimized geometry

The structure belongs to space group F-43m (No. 216); the cell edges are 6.200, 6.200 and 6.200 Å and the angles 90.00°, 90.00° and 90.00°. Symmetry generates all atoms from Li at (0.000, 0.000, 0.000), Cd at (0.250, 0.250, 0.750), Cu at (0.000, 0.000, 0.500) and Pt at (0.250, 0.250, 0.250).

The value obtained for the energy above the most stable polymorph in this dataset is 0.007 eV/atom.

Material: LiCdCuPt
Method: DFT, PBE-GGA
State: optimized geometry

The structure belongs to space group Imm2 (No. 44); the cell edges are 3.969, 4.004 and 7.722 Å and the angles 90.00°, 90.00° and 90.00°. Symmetry generates all atoms from Li at (0.000, 0.000, 0.000), Cd at (0.000, 0.500, 0.250), Cu at (0.000, 0.500, 0.748) and Pt at (0.000, 0.000, 0.499).

The value obtained for the energy above the most stable polymorph in this dataset is 0.000 eV/atom.

Material: LiCdCu2Pt
Method: DFT, PBE-GGA
State: optimized geometry

The structure belongs to space group P4/mmm (No. 123); the cell edges are 4.686, 4.686 and 4.460 Å and the angles 90.00°, 90.00° and 90.00°. Symmetry generates all atoms from Li at (0.000, 0.000, 0.000), Cd at (0.000, 0.000, 0.500), Cu at (0.000, 0.500, 0.500) and Pt at (0.500, 0.500, 0.000).

Material: Rb2LiCdCu
Method: DFT, PBE-GGA
State: optimized geometry

The structure belongs to space group P4/mmm (No. 123); the cell edges are 6.740, 6.740 and 4.741 Å and the angles 90.00°, 90.00° and 90.00°. Symmetry generates all atoms from Rb at (0.000, 0.500, 0.000), Li at (0.000, 0.000, 0.000), Cd at (0.500, 0.500, 0.500) and Cu at (0.000, 0.000, 0.500).

Material: LiScCdCu
Method: DFT, PBE-GGA
State: optimized geometry

The structure belongs to space group F-43m (No. 216); the cell edges are 6.478, 6.478 and 6.478 Å and the angles 90.00°, 90.00° and 90.00°. Symmetry generates all atoms from Li at (0.000, 0.000, 0.000), Sc at (0.250, 0.250, 0.750), Cd at (0.250, 0.250, 0.250) and Cu at (0.000, 0.000, 0.500).

What are the E values for these records? In order: -38.4, -39.7, -12.4, -14.2, -14.2, -12.6, -7.1, -14.0 eV per formula unit.
What are the DOS(E_F) values for these records? In order: 5.41, 13.68, 21.38, 3.60, 2.50, 2.56, 4.06, 20.25 states/eV/cell.
What are the E_form values for these records? In order: -2.654, -1.782, -0.678, -1.245, -1.273, 4.416, 1.726, -0.728 eV/f.u..